(P)
Tb3PrPt2 | GGA-PBE | optimized geometry Values from VASP.

```
&SYSTEM
  ibrav = 0, nat = 12, ntyp = 3
/
ATOMIC_SPECIES
Tb 158.93 Tb.upf
Pr 140.91 Pr.upf
Pt 195.08 Pt.upf
ATOMIC_POSITIONS angstrom
Tb 0.000 0.710 0.000
Tb 0.000 2.920 2.657
Tb 0.000 6.011 6.285
Tb 0.000 8.221 3.628
Tb 2.413 1.466 4.739
Tb 2.413 7.465 1.111
Pr 2.413 3.746 0.123
Pr 2.413 5.185 3.751
Pt 0.000 2.989 5.526
Pt 0.000 5.942 1.898
Pt 2.413 1.380 1.851
Pt 2.413 7.551 5.479
CELL_PARAMETERS angstrom
4.826 0.000 0.000
0.000 8.931 0.000
0.000 0.000 7.255
```

total magnetic moment = 0.000 μB per formula unit
density = 10.70 g/cm3

(Q)
Tb3PrPt2 | GGA-PBE | optimized geometry Values from VASP.

```
&SYSTEM
  ibrav = 0, nat = 12, ntyp = 3
/
ATOMIC_SPECIES
Tb 158.93 Tb.upf
Pr 140.91 Pr.upf
Pt 195.08 Pt.upf
ATOMIC_POSITIONS angstrom
Tb 0.378 0.000 2.033
Tb 5.256 0.000 3.767
Tb 5.926 0.000 7.190
Tb 9.981 0.000 0.214
Tb 10.651 0.000 3.637
Tb 15.529 0.000 5.371
Pr 2.639 0.000 6.157
Pr 13.268 0.000 1.247
Pt 3.257 0.000 1.724
Pt 7.865 0.000 2.269
Pt 8.042 0.000 5.135
Pt 12.650 0.000 5.680
CELL_PARAMETERS angstrom
8.292 -2.620 0.000
8.292 2.620 0.000
-0.677 0.000 7.404
```

total magnetic moment = 0.000 μB per formula unit
density = 10.40 g/cm3

Energy above the most stable structure, in kJ/mol of atoms: (P) 0.0; (Q) 11.4

(P)
TbPrZnPt | GGA-PBE | optimized geometry Values from VASP.

```
&SYSTEM
  ibrav = 0, nat = 4, ntyp = 4
/
ATOMIC_SPECIES
Tb 158.93 Tb.upf
Pr 140.91 Pr.upf
Zn 65.41 Zn.upf
Pt 195.08 Pt.upf
ATOMIC_POSITIONS angstrom
Tb 0.000 0.000 0.000
Pr 2.231 0.000 3.113
Zn 0.000 0.000 7.856
Pt 2.231 0.000 6.223
CELL_PARAMETERS angstrom
4.463 0.000 0.000
0.000 1.970 5.532
0.000 -1.970 5.532
```

total magnetic moment = 0.000 μB per formula unit
density = 9.57 g/cm3

(Q)
TbPrZnPt | GGA-PBE | optimized geometry Values from VASP.

```
&SYSTEM
  ibrav = 0, nat = 4, ntyp = 4
/
ATOMIC_SPECIES
Tb 158.93 Tb.upf
Pr 140.91 Pr.upf
Zn 65.41 Zn.upf
Pt 195.08 Pt.upf
ATOMIC_POSITIONS angstrom
Tb 0.000 0.000 0.000
Pr 3.608 3.608 3.608
Zn 1.804 1.804 1.804
Pt 5.412 5.412 5.412
CELL_PARAMETERS angstrom
0.000 3.608 3.608
3.608 0.000 3.608
3.608 3.608 0.000
```

total magnetic moment = 0.000 μB per formula unit
density = 9.90 g/cm3

Energy above the most stable structure, in kJ/mol of atoms: (P) 0.0; (Q) 4.9

(P)
Pr2TePt | GGA-PBE | optimized geometry Values from VASP.

```
&SYSTEM
  ibrav = 0, nat = 8, ntyp = 3
/
ATOMIC_SPECIES
Pr 140.91 Pr.upf
Te 127.60 Te.upf
Pt 195.08 Pt.upf
ATOMIC_POSITIONS angstrom
Pr 0.000 2.470 1.646
Pr 0.000 2.470 6.071
Pr 2.139 1.235 9.363
Pr 2.139 1.235 13.788
Te 0.000 2.470 11.576
Te 2.139 1.235 3.859
Pt 0.000 0.000 0.000
Pt 0.000 0.000 7.717
CELL_PARAMETERS angstrom
4.279 0.000 0.000
-2.139 3.705 0.000
0.000 0.000 15.434
```

total magnetic moment = 0.000 μB per formula unit
density = 8.20 g/cm3

(Q)
Pr2TePt | GGA-PBE | optimized geometry Values from VASP.

```
&SYSTEM
  ibrav = 0, nat = 4, ntyp = 3
/
ATOMIC_SPECIES
Pr 140.91 Pr.upf
Te 127.60 Te.upf
Pt 195.08 Pt.upf
ATOMIC_POSITIONS angstrom
Pr 0.000 0.000 1.714
Pr 0.000 0.000 5.813
Te 1.897 1.897 3.764
Pt 1.897 1.897 0.000
CELL_PARAMETERS angstrom
3.793 0.000 0.000
0.000 3.793 0.000
0.000 0.000 7.528
```

total magnetic moment = 0.000 μB per formula unit
density = 9.27 g/cm3

(R)
Pr2TePt | GGA-PBE | optimized geometry Values from VASP.

```
&SYSTEM
  ibrav = 0, nat = 4, ntyp = 3
/
ATOMIC_SPECIES
Pr 140.91 Pr.upf
Te 127.60 Te.upf
Pt 195.08 Pt.upf
ATOMIC_POSITIONS angstrom
Pr 0.000 0.000 0.000
Pr 0.000 0.000 4.429
Te 0.000 0.000 9.862
Pt 0.000 0.000 13.696
CELL_PARAMETERS angstrom
2.156 1.245 7.656
-2.156 1.245 7.656
0.000 -2.490 7.656
```

total magnetic moment = 0.000 μB per formula unit
density = 8.14 g/cm3

Energy above the most stable structure, in kJ/mol of atoms: (P) 0.0; (Q) 16.1; (R) 1.2